Entry 1:
An optimized crystal structure of CsNaReIr. Source: OQMD, functional PBE-GGA.

a b c (Å): 6.861 6.861 6.861
angles (deg): 90.00 90.00 90.00
Space group F-43m (No. 216)
Inequivalent atoms, fractional coordinates:
Cs1 0.000 0.000 0.000 x4
Na1 0.250 0.250 0.750 x4
Re1 0.250 0.250 0.250 x4
Ir1 0.000 0.000 0.500 x4

Values from the calculation:
Relative energy among the computed polymorphs   0.0 kJ per mole of atoms
E   -4.2237 eV per atom

Entry 2:
An optimized crystal structure of CsNaReIr. Source: OQMD, functional PBE-GGA.

a b c (Å): 7.114 7.114 7.114
angles (deg): 90.00 90.00 90.00
Space group F-43m (No. 216)
Inequivalent atoms, fractional coordinates:
Cs1 0.000 0.000 0.000 x4
Na1 0.250 0.250 0.250 x4
Re1 0.000 0.000 0.500 x4
Ir1 0.250 0.250 0.750 x4

Values from the calculation:
Relative energy among the computed polymorphs   10.5 kJ per mole of atoms
E   -4.1147 eV per atom

Entry 3:
An optimized crystal structure of CsNaReIr. Source: OQMD, functional PBE-GGA.

a b c (Å): 7.078 7.078 7.078
angles (deg): 90.00 90.00 90.00
Space group F-43m (No. 216)
Inequivalent atoms, fractional coordinates:
Cs1 0.000 0.000 0.000 x4
Na1 0.000 0.000 0.500 x4
Re1 0.250 0.250 0.750 x4
Ir1 0.250 0.250 0.250 x4

Values from the calculation:
Relative energy among the computed polymorphs   53.7 kJ per mole of atoms
E   -3.6674 eV per atom